# 1
CoIr4Ru | Alexandria | GGA-PBE | relaxed; E above lowest polymorph = 0.0000 eV/atom; DFT formation energy = 12 meV/atom; symmetry = Cmc2_1 (36)
1.0
1.9049 -5.7100 0.0000
1.9049 5.7100 0.0000
0.0000 0.0000 7.6374
Co Ir Ru
2 8 2
direct
0.1658 0.8342 0.5000
0.8342 0.1658 0.0000
0.0018 0.9982 0.2508
0.1677 0.8323 0.0003
0.3307 0.6693 0.2488
0.4969 0.5031 0.9995
0.5031 0.4969 0.4995
0.6693 0.3307 0.7488
0.8323 0.1677 0.5003
0.9982 0.0018 0.7508
0.3317 0.6683 0.7503
0.6683 0.3317 0.2503

***

# 2
La2CdSe2 | Alexandria | GGA-PBE | relaxed; ΔE_f (raw) = -1.11 eV per atom; E above lowest polymorph = 0.2496 eV/atom; symmetry = I4/mmm (139)
1.0
-2.7067 2.7067 6.0256
2.7067 -2.7067 6.0256
2.7067 2.7067 -6.0256
La Cd Se
2 1 2
direct
0.2500 0.7500 0.5000
0.7500 0.2500 0.5000
0.0000 0.0000 0.0000
0.3499 0.3499 0.0000
0.6501 0.6501 0.0000

***

# 3
Ho5Tm3In | Alexandria | GGA-PBE | relaxed; DFT formation energy = 201 meV/atom; symmetry = I4/mcm (140)
1.0
-4.5826 4.5826 6.7559
4.5826 -4.5826 6.7559
4.5826 4.5826 -6.7559
Ho Tm In
10 6 2
direct
0.0000 0.0000 0.0000
0.0598 0.5598 0.8850
0.1748 0.0598 0.5000
0.3252 0.8252 0.8850
0.4402 0.3252 0.5000
0.5000 0.5000 0.0000
0.5598 0.6748 0.5000
0.6748 0.1748 0.1150
0.8252 0.9402 0.5000
0.9402 0.4402 0.1150
0.1126 0.3874 0.5000
0.2500 0.2500 0.0000
0.3874 0.8874 0.2748
0.6126 0.1126 0.7252
0.7500 0.7500 0.0000
0.8874 0.6126 0.5000
0.2500 0.7500 0.5000
0.7500 0.2500 0.5000

***

# 4
TlBiN2 | Alexandria | GGA-PBE | relaxed; ΔE_f (raw) = 1.25 eV per atom; E above lowest polymorph = 1.1863 eV/atom; symmetry = R-3m (166)
1.0
1.7811 1.0283 6.8257
-1.7811 1.0283 6.8257
0.0000 -2.0567 6.8257
Tl Bi N
1 1 2
direct
0.0000 0.0000 0.0000
0.5000 0.5000 0.5000
0.3901 0.3901 0.3901
0.6099 0.6099 0.6099

***

# 5
Dy6MgAl2 | Alexandria | GGA-PBE | relaxed; DFT formation energy = 135 meV/atom; symmetry = C2/m (12)
1.0
8.0268 -3.6686 0.0000
8.0268 3.6686 0.0000
-1.5595 0.0000 4.7681
Dy Mg Al
6 1 2
direct
0.0754 0.5852 0.3301
0.2356 0.7644 0.0000
0.4148 0.9246 0.6699
0.5852 0.0754 0.3301
0.7644 0.2356 0.0000
0.9246 0.4148 0.6699
0.5000 0.5000 0.5000
0.1681 0.1681 0.1683
0.8319 0.8319 0.8317